## Ge2RhF (PBE)

Data for Ge2RhF after structural relaxation.

Output
formation energy without anion corrections = -472 meV per atom
total DFT energy (no corrections) = -40.7 eV per cell
V = 20.6 A^3/atom
density of states at the Fermi level = 0.47 states/eV/atom

Cell: 6.733 6.733 6.733 Å, 132.12 132.12 70.04°
Fractional positions:
Ge1 0.119 0.625 0.994
Ge2 0.375 0.369 0.494
Ge3 0.631 0.125 0.006
Ge4 0.875 0.881 0.506
Rh1 0.000 0.000 0.000
Rh2 0.750 0.250 0.500
F1 0.250 0.750 0.500
F2 0.500 0.500 0.000

## V2FeB (PBE)

Data for V2FeB after structural relaxation.

Output
total DFT energy (no corrections) = -67.5 eV per cell
formation energy = -0.0946 eV per atom
V = 10.6 A^3/atom
density of states at the Fermi level = 0.94 states/eV/atom

Cell: 5.152 5.079 4.669 Å, 63.65 62.05 54.29°
Fractional positions:
V1 0.207 0.793 0.207
V2 0.250 0.250 0.250
V3 0.750 0.750 0.750
V4 0.793 0.207 0.793
Fe1 0.294 0.706 0.706
Fe2 0.706 0.294 0.294
B1 0.287 0.287 0.713
B2 0.713 0.713 0.287

## AcNpSe (PBE)

Data for AcNpSe after structural relaxation.

Output
formation energy without anion corrections = -407 meV per atom
total DFT energy (no corrections) = -21.8 eV per cell
V = 30.5 A^3/atom
density of states at the Fermi level = 3.19 states/eV/atom

Cell: 7.213 7.213 7.213 Å, 150.39 150.39 42.37°
Fractional positions:
Ac1 0.000 0.000 0.000
Np1 0.279 0.279 0.000
Se1 0.663 0.663 0.000

## Rb2TaTeBr6 (PBE)

Data for Rb2TaTeBr6 after structural relaxation.

Output
formation energy without anion corrections = -881 meV per atom
total DFT energy (no corrections) = -35.8 eV per cell
V = 42.6 A^3/atom
density of states at the Fermi level = 0.41 states/eV/atom

Cell: 8.311 8.311 8.311 Å, 116.11 116.11 96.87°
Fractional positions:
Rb1 0.250 0.750 0.500
Rb2 0.750 0.250 0.500
Ta1 0.000 0.000 0.000
Te1 0.500 0.500 0.000
Br1 0.207 0.207 0.414
Br2 0.207 0.793 0.000
Br3 0.233 0.233 0.000
Br4 0.767 0.767 0.000
Br5 0.793 0.207 0.000
Br6 0.793 0.793 0.586